# 1
# Sm2Ho3ScSe6 | Alexandria | PBE-GGA | relaxed
data_Sm2Ho3ScSe6
_space_group_name_H-M_alt 'C 1 2/m 1'
_space_group_IT_number 12
_space_group_name_Hall '-C 2y'
_cell_length_a 17.716
_cell_length_b 4.055
_cell_length_c 8.182
_cell_angle_alpha 90.00
_cell_angle_beta 103.22
_cell_angle_gamma 90.00
loop_
_atom_site_label
_atom_site_type_symbol
_atom_site_fract_x
_atom_site_fract_y
_atom_site_fract_z
Sm1 Sm 0.168 0.000 0.335
Ho1 Ho 0.000 0.500 0.500
Ho2 Ho 0.172 0.000 0.835
Sc1 Sc 0.000 0.500 0.000
Se1 Se 0.004 0.000 0.760
Se2 Se 0.161 0.500 0.073
Se3 Se 0.163 0.500 0.589
# Raw total energy, eV for the cell shown: -142.15
# Formation energy without anion corrections, eV per atom: -1.722
# V, Å³ per atom: 23.8


# 2
# GdNbO4 | Alexandria | PBE-GGA | relaxed
data_GdNbO4
_space_group_name_H-M_alt 'C 1 2/c 1'
_space_group_IT_number 15
_space_group_name_Hall '-C 2yc'
_cell_length_a 7.233
_cell_length_b 11.269
_cell_length_c 5.185
_cell_angle_alpha 90.00
_cell_angle_beta 131.80
_cell_angle_gamma 90.00
loop_
_atom_site_label
_atom_site_type_symbol
_atom_site_fract_x
_atom_site_fract_y
_atom_site_fract_z
Gd1 Gd 0.000 0.128 0.250
Nb1 Nb 0.000 0.392 0.750
O1 O 0.158 0.291 0.659
O2 O 0.248 0.467 0.198
# Raw total energy, eV for the cell shown: -249.59
# Formation energy without anion corrections, eV per atom: -3.069
# V, Å³ per atom: 13.1


# 3
# NaMnBiOs | Alexandria | PBE-GGA | relaxed
data_NaMnBiOs
_space_group_name_H-M_alt 'P 4 m m'
_space_group_IT_number 99
_space_group_name_Hall 'P 4 -2'
_cell_length_a 3.115
_cell_length_b 3.115
_cell_length_c 8.466
_cell_angle_alpha 90.00
_cell_angle_beta 90.00
_cell_angle_gamma 90.00
loop_
_atom_site_label
_atom_site_type_symbol
_atom_site_fract_x
_atom_site_fract_y
_atom_site_fract_z
Na1 Na 0.000 0.000 0.000
Mn1 Mn 0.000 0.000 0.401
Bi1 Bi 0.500 0.500 0.646
Os1 Os 0.500 0.500 0.262
# Raw total energy, eV for the cell shown: -23.94
# Excess energy over the best structure of this formula in the dataset, meV per atom: 0
# V, Å³ per atom: 20.5


# 4
# Ho6BiAs3P2 | Alexandria | PBE-GGA | relaxed
data_Ho6BiAs3P2
_space_group_name_H-M_alt 'C 1 2/m 1'
_space_group_IT_number 12
_space_group_name_Hall '-C 2y'
_cell_length_a 17.944
_cell_length_b 4.107
_cell_length_c 8.285
_cell_angle_alpha 90.00
_cell_angle_beta 102.97
_cell_angle_gamma 90.00
loop_
_atom_site_label
_atom_site_type_symbol
_atom_site_fract_x
_atom_site_fract_y
_atom_site_fract_z
Ho1 Ho 0.004 0.000 0.270
Ho2 Ho 0.170 0.500 0.580
Ho3 Ho 0.175 0.500 0.095
Bi1 Bi 0.000 0.500 0.000
As1 As 0.000 0.500 0.500
As2 As 0.164 0.000 0.832
P1 P 0.168 0.000 0.336
# Raw total energy, eV for the cell shown: -145.87
# V, Å³ per atom: 24.8


# 5
# SrFeBiB2 | Alexandria | PBE-GGA | relaxed
data_SrFeBiB2
_space_group_name_H-M_alt 'P 4/m m m'
_space_group_IT_number 123
_space_group_name_Hall '-P 4 2'
_cell_length_a 4.278
_cell_length_b 4.278
_cell_length_c 5.239
_cell_angle_alpha 90.00
_cell_angle_beta 90.00
_cell_angle_gamma 90.00
loop_
_atom_site_label
_atom_site_type_symbol
_atom_site_fract_x
_atom_site_fract_y
_atom_site_fract_z
Sr1 Sr 0.000 0.000 0.000
Fe1 Fe 0.000 0.000 0.500
Bi1 Bi 0.500 0.500 0.000
B1 B 0.000 0.500 0.500
# Raw total energy, eV for the cell shown: -22.19
# V, Å³ per atom: 19.2


# 6
# SrHgPO2 | Alexandria | PBE-GGA | relaxed
data_SrHgPO2
_space_group_name_H-M_alt 'P 4/m m m'
_space_group_IT_number 123
_space_group_name_Hall '-P 4 2'
_cell_length_a 4.453
_cell_length_b 4.453
_cell_length_c 6.729
_cell_angle_alpha 90.00
_cell_angle_beta 90.00
_cell_angle_gamma 90.00
loop_
_atom_site_label
_atom_site_type_symbol
_atom_site_fract_x
_atom_site_fract_y
_atom_site_fract_z
Sr1 Sr 0.000 0.000 0.000
Hg1 Hg 0.500 0.500 0.500
P1 P 0.000 0.000 0.500
O1 O 0.000 0.500 0.000
# Raw total energy, eV for the cell shown: -16.98
# Excess energy over the best structure of this formula in the dataset, meV per atom: 304
# Formation energy without anion corrections, eV per atom: 0.066
# V, Å³ per atom: 26.7